[1]
The following is a DFT calculation (PBE) of a geometry-optimized Tl5Sn2F12 structure.

POSCAR file:
```
Tl5Sn2F12
1.0
-3.875 1.740 5.398
7.020 -3.904 1.928
2.434 8.489 -0.989
Tl Sn F
5 2 12
Direct
0.288 0.577 0.628
0.308 0.616 0.216
0.000 0.000 0.500
0.692 0.384 0.784
0.712 0.423 0.372
0.752 0.000 0.000
0.248 0.000 0.000
0.001 0.001 0.150
0.109 0.725 0.938
0.615 0.725 0.938
0.099 0.694 0.430
0.595 0.694 0.430
0.501 0.003 0.852
0.499 0.997 0.148
0.901 0.306 0.570
0.405 0.306 0.570
0.891 0.275 0.062
0.385 0.275 0.062
0.999 0.999 0.850
```

Summary:
formation energy from raw total energies: -2.007 eV/atom
electronic total energy: -80.42 eV for the cell shown

[2]
The following is a DFT calculation (PBE) of a geometry-optimized Tl2SnF6 structure.

POSCAR file:
```
Tl2SnF6
1.0
6.168 0.000 0.000
-3.084 5.341 0.000
0.000 0.000 4.961
Tl Sn F
2 1 6
Direct
0.667 0.333 0.313
0.333 0.667 0.687
0.000 0.000 0.000
0.843 0.157 0.776
0.843 0.687 0.776
0.313 0.157 0.776
0.157 0.843 0.224
0.157 0.313 0.224
0.687 0.843 0.224
```

Summary:
formation energy from raw total energies: -2.267 eV/atom
electronic total energy: -40.37 eV for the cell shown

Among the records above, which one has the lowest formation energy from raw total energies?
Tl2SnF6

Copy entry 2 word for word.
The following is a DFT calculation (PBE) of a geometry-optimized Tl2SnF6 structure.

POSCAR file:
```
Tl2SnF6
1.0
6.168 0.000 0.000
-3.084 5.341 0.000
0.000 0.000 4.961
Tl Sn F
2 1 6
Direct
0.667 0.333 0.313
0.333 0.667 0.687
0.000 0.000 0.000
0.843 0.157 0.776
0.843 0.687 0.776
0.313 0.157 0.776
0.157 0.843 0.224
0.157 0.313 0.224
0.687 0.843 0.224
```

Summary:
formation energy from raw total energies: -2.267 eV/atom
electronic total energy: -40.37 eV for the cell shown

Number 1 is which compound?
Tl5Sn2F12

What is the formula in the first record?
Tl5Sn2F12